First-principles (SCAN) data for a PBEsol-optimized structure of Nd2Re3Si5, as listed in the Alexandria database.

Results
Crystal system: tetragonal
Total magnetization in μB per formula unit: 0.00
VASP energy in eV per atom: -35.632
E_form (uncorrected) in eV/f.u.: -5.8

Cell: 10.964 10.964 5.625 Å, 90.00 90.00 90.00°
Space group P4/mnc (No. 128)
Inequivalent atoms, fractional coordinates:
Nd: 0.077 0.237 0.000 [8 per cell]
Re: 0.000 0.500 0.250 [4 per cell]
Re: 0.124 0.852 0.500 [8 per cell]
Si: 0.000 0.000 0.257 [4 per cell]
Si: 0.025 0.316 0.500 [8 per cell]
Si: 0.172 0.672 0.250 [8 per cell]

---

First-principles (SCAN) data for a PBEsol-optimized structure of Tb3Sm, as listed in the Alexandria database.

Results
Crystal system: hexagonal
Total magnetization in μB per formula unit: 0.00
ΔE to the lowest computed polymorph in eV/atom: 0.003
VASP energy in eV per atom: -46.165
Formation energy in eV per atom: 0.02

Cell: 7.0985 7.0985 5.6197 Å, 90.00 90.00 120.00°
Space group P6_3/mmc (No. 194)
Inequivalent atoms, fractional coordinates:
Tb: 0.1666 0.3332 0.2500 [6 per cell]
Sm: 0.3333 0.6667 0.7500 [2 per cell]

---

First-principles (SCAN) data for a PBEsol-optimized structure of CsNaB10H4O18, as listed in the Alexandria database.

Results
Crystal system: monoclinic
Total magnetization in μB per formula unit: 0.00
VASP energy in eV per atom: -9.483

Cell: 7.572 9.003 11.867 Å, 90.00 116.12 90.00°
Space group Pc (No. 7)
Inequivalent atoms, fractional coordinates:
Cs: 0.000 0.176 0.000 [2 per cell]
Na: 0.463 0.417 0.002 [2 per cell]
B: 0.015 0.397 0.500 [2 per cell]
B: 0.056 0.268 0.329 [2 per cell]
B: 0.211 0.466 0.721 [2 per cell]
B: 0.256 0.043 0.328 [2 per cell]
B: 0.423 0.156 0.783 [2 per cell]
B: 0.509 0.091 0.003 [2 per cell]
B: 0.602 0.152 0.225 [2 per cell]
B: 0.767 0.046 0.675 [2 per cell]
B: 0.815 0.462 0.278 [2 per cell]
B: 0.969 0.270 0.670 [2 per cell]
H: 0.348 0.226 0.606 [2 per cell]
H: 0.428 0.376 0.300 [2 per cell]
H: 0.600 0.380 0.706 [2 per cell]
H: 0.687 0.229 0.403 [2 per cell]
O: 0.121 0.354 0.760 [2 per cell]
O: 0.124 0.157 0.278 [2 per cell]
O: 0.126 0.297 0.454 [2 per cell]
O: 0.157 0.493 0.598 [2 per cell]
O: 0.298 0.034 0.741 [2 per cell]
O: 0.334 0.005 0.450 [2 per cell]
O: 0.351 0.456 0.317 [2 per cell]
O: 0.446 0.243 0.695 [2 per cell]
O: 0.496 0.185 0.101 [2 per cell]
O: 0.521 0.191 0.907 [2 per cell]
O: 0.584 0.240 0.314 [2 per cell]
O: 0.669 0.461 0.683 [2 per cell]
O: 0.684 0.005 0.553 [2 per cell]
O: 0.729 0.031 0.264 [2 per cell]
O: 0.876 0.493 0.402 [2 per cell]
O: 0.899 0.161 0.722 [2 per cell]
O: 0.901 0.348 0.240 [2 per cell]
O: 0.904 0.297 0.546 [2 per cell]

---

First-principles (SCAN) data for a PBEsol-optimized structure of Zr3Zn3C, as listed in the Alexandria database.

Results
Crystal system: cubic
Total magnetization in μB per formula unit: 0.00
VASP energy in eV per atom: -20.990
Formation energy in eV per atom: -0.60

Cell: 12.091 12.091 12.091 Å, 90.00 90.00 90.00°
Space group Fd-3m (No. 227, origin choice 2)
Inequivalent atoms, fractional coordinates:
Zr: 0.066 0.375 0.375 [48 per cell]
Zn: 0.000 0.000 0.500 [16 per cell]
Zn: 0.045 0.045 0.705 [32 per cell]
C: 0.000 0.000 0.000 [16 per cell]

---

First-principles (SCAN) data for a PBEsol-optimized structure of LaYPt4, as listed in the Alexandria database.

Results
Crystal system: cubic
Total magnetization in μB per formula unit: 0.00
VASP energy in eV per atom: -59.889
Formation energy in eV per atom: -1.27

Cell: 7.668 7.668 7.668 Å, 90.00 90.00 90.00°
Space group F-43m (No. 216)
Inequivalent atoms, fractional coordinates:
La: 0.000 0.000 0.000 [4 per cell]
Y: 0.250 0.250 0.250 [4 per cell]
Pt: 0.125 0.125 0.625 [16 per cell]

---

First-principles (SCAN) data for a PBEsol-optimized structure of Rb3LuV2O8, as listed in the Alexandria database.

Results
Crystal system: trigonal
Total magnetization in μB per formula unit: 0.00
VASP energy in eV per atom: -17.294
E_form (uncorrected) in eV/f.u.: -39.7

Cell: 5.9095 5.9095 7.7709 Å, 90.00 90.00 120.00°
Space group P-3m1 (No. 164)
Inequivalent atoms, fractional coordinates:
Rb: 0.0000 0.0000 0.0000 [1 per cell]
Rb: 0.3333 0.6667 0.6993 [2 per cell]
Lu: 0.0000 0.0000 0.5000 [1 per cell]
V: 0.3333 0.6667 0.2604 [2 per cell]
O: 0.1733 0.3465 0.3356 [6 per cell]
O: 0.3333 0.6667 0.0474 [2 per cell]

---

First-principles (SCAN) data for a PBEsol-optimized structure of La3Tl, as listed in the Alexandria database.

Results
Crystal system: monoclinic
Total magnetization in μB per formula unit: 0.00
ΔE to the lowest computed polymorph in eV/atom: 0.107
VASP energy in eV per atom: -50.698
Formation energy in eV per atom: -0.28

Cell: 3.597 5.745 6.059 Å, 90.00 96.79 90.00°
Space group P2/m (No. 10)
Inequivalent atoms, fractional coordinates:
La: 0.000 0.000 0.000 [1 per cell]
La: 0.294 0.500 0.730 [2 per cell]
Tl: 0.500 0.000 0.500 [1 per cell]

---

First-principles (SCAN) data for a PBEsol-optimized structure of Zn3Cu3Te2O12, as listed in the Alexandria database.

Results
Crystal system: cubic
Total magnetization in μB per formula unit: 3.02
VASP energy in eV per atom: -12.940
E_form (uncorrected) in eV/f.u.: -23.4

Cell: 9.590 9.590 9.590 Å, 90.00 90.00 90.00°
Space group I2_13 (No. 199)
Inequivalent atoms, fractional coordinates:
Zn: 0.000 0.250 0.965 [12 per cell]
Cu: 0.000 0.250 0.468 [12 per cell]
Te: 0.246 0.254 0.746 [8 per cell]
O: 0.105 0.377 0.828 [24 per cell]
O: 0.110 0.129 0.331 [24 per cell]

---

What is the total magnetization in the eighth record?
3.02 μB per formula unit